The following is a DFT calculation (PBE) of crystalline IBrO2 at its relaxed geometry.

Output
Magnetic moment ... 0.0 μB per formula unit
E_form (uncorrected) ... 27.7 kJ/mol of atoms
Symmetry ... C2/m (12)
ΔE to the lowest computed polymorph ... 0.393 eV per atom
Total DFT energy (no corrections) ... -11.99 eV per formula unit

Cell lengths 3.7689, 3.7689, 5.8947 Å; angles 90.08, 90.08, 59.97 degrees
Last column: nearest neighbours and their distance in Å.
Fractional coordinates of all 4 atoms:
I  0.0000  0.0000  0.0000  6 O 2.23-2.24
Br  0.0000  0.0000  0.5000  2 I 2.95, 6 O 3.27
O  0.3332  0.3332  0.9136  3 I 2.23-2.24, 3 O 2.40
O  0.6668  0.6668  0.0864  3 I 2.23-2.24, 3 O 2.40

***

The following is a DFT calculation (PBE) of crystalline I2BrO2 at its relaxed geometry.

Output
Magnetic moment ... 0.0 μB per formula unit
E_form (uncorrected) ... 43.7 kJ/mol of atoms
Symmetry ... I4/mmm (139)
ΔE to the lowest computed polymorph ... 0.324 eV per atom
Total DFT energy (no corrections) ... -12.43 eV per formula unit

Cell lengths 6.2033, 6.2033, 6.2033 Å; angles 131.97, 131.97, 70.28 degrees
Last column: nearest neighbours and their distance in Å.
Fractional coordinates of all 5 atoms:
I  0.2500  0.7500  0.5000  4 O 2.55
I  0.7500  0.2500  0.5000  4 O 2.55
Br  0.0000  0.0000  0.0000  2 O 2.20
O  0.2165  0.2165  0.0000  1 Br 2.20
O  0.7835  0.7835  0.0000  1 Br 2.20

***

The following is a DFT calculation (PBE) of crystalline IBrO2 at its relaxed geometry.

Output
Magnetic moment ... 0.0 μB per formula unit
E_form (uncorrected) ... 106.5 kJ/mol of atoms
Symmetry ... Fm-3m (225)
ΔE to the lowest computed polymorph ... 1.209 eV per atom
Total DFT energy (no corrections) ... -8.73 eV per formula unit

Cell lengths 4.3718, 4.3718, 4.3718 Å; angles 60.00, 60.00, 60.00 degrees
Last column: nearest neighbours and their distance in Å.
Fractional coordinates of all 4 atoms:
I  0.0000  0.0000  0.0000  8 O 2.68
Br  0.5000  0.5000  0.5000  8 O 2.68
O  0.2500  0.2500  0.2500  4 Br 2.68, 4 I 2.68
O  0.7500  0.7500  0.7500  4 Br 2.68, 4 I 2.68

***

Question: Among the records above, which one has the lowest total DFT energy (no corrections)?
Answer: I2BrO2

***

Question: What is the total DFT energy (no corrections) in the second record?
Answer: -12.43 eV per formula unit

***

Question: The lowest ΔE to the lowest computed polymorph belongs to which entry?
Answer: I2BrO2

***

Question: Number 1 is which compound?
Answer: IBrO2